a.
Density functional theory data (PBE) for a relaxed Sr2V2Fe crystal.

It has space group I4/mmm (No. 139), with a = 4.3388 Å, b = 4.3388 Å, c = 13.5242 Å, α = 90.00°, β = 90.00° and γ = 90.00°. The inequivalent atoms are Sr at (0.0000, 0.5000, 0.2500), V at (0.0000, 0.0000, 0.0674) and Fe at (0.0000, 0.0000, 0.5000).

b.
Density functional theory data (PBE) for a relaxed Sr2V2Fe crystal.

It has space group P4/mbm (No. 127), with a = 6.4236 Å, b = 6.4236 Å, c = 5.5643 Å, α = 90.00°, β = 90.00° and γ = 90.00°. The inequivalent atoms are Sr at (0.1880, 0.3120, 0.0000), V at (0.1500, 0.6500, 0.5000) and Fe at (0.0000, 0.0000, 0.5000).

On energetic grounds, b is preferred over the next structure by 59.4 kJ/mol of atoms.

a.
Density functional theory data (PBE) for a relaxed SrFeW crystal.

It has space group F-43m (No. 216), with a = 6.3679 Å, b = 6.3679 Å, c = 6.3679 Å, α = 90.00°, β = 90.00° and γ = 90.00°. The inequivalent atoms are Sr at (0.0000, 0.0000, 0.0000), Fe at (0.2500, 0.2500, 0.7500) and W at (0.0000, 0.0000, 0.5000).

b.
Density functional theory data (PBE) for a relaxed SrFeW crystal.

It has space group F-43m (No. 216), with a = 6.9535 Å, b = 6.9535 Å, c = 6.9535 Å, α = 90.00°, β = 90.00° and γ = 90.00°. The inequivalent atoms are Sr at (0.0000, 0.0000, 0.0000), Fe at (0.2500, 0.2500, 0.2500) and W at (0.2500, 0.2500, 0.7500).

c.
Density functional theory data (PBE) for a relaxed SrFeW crystal.

It has space group P3m1 (No. 156), with a = 3.9580 Å, b = 3.9580 Å, c = 5.1995 Å, α = 90.00°, β = 90.00° and γ = 120.00°. The inequivalent atoms are Sr at (0.0000, 0.0000, 0.0000), Fe at (0.3333, 0.6667, 0.4711) and W at (0.6667, 0.3333, 0.5080).

On energetic grounds, c is preferred over the next structure by 64.5 kJ/mol of atoms.

a.
Density functional theory data (PBE) for a relaxed SrFeW2 crystal.

It has space group Fm-3m (No. 225), with a = 6.4470 Å, b = 6.4470 Å, c = 6.4470 Å, α = 90.00°, β = 90.00° and γ = 90.00°. The inequivalent atoms are Sr at (0.0000, 0.0000, 0.0000), Fe at (0.0000, 0.0000, 0.5000) and W at (0.2500, 0.2500, 0.2500).

b.
Density functional theory data (PBE) for a relaxed SrFeW2 crystal.

It has space group F-43m (No. 216), with a = 6.6214 Å, b = 6.6214 Å, c = 6.6214 Å, α = 90.00°, β = 90.00° and γ = 90.00°. The inequivalent atoms are Sr at (0.0000, 0.0000, 0.0000), Fe at (0.2500, 0.2500, 0.7500), W at (0.0000, 0.0000, 0.5000) and W at (0.2500, 0.2500, 0.2500).

c.
Density functional theory data (PBE) for a relaxed SrFeW2 crystal.

It has space group P4/mmm (No. 123), with a = 3.2622 Å, b = 3.2622 Å, c = 7.5686 Å, α = 90.00°, β = 90.00° and γ = 90.00°. The inequivalent atoms are Sr at (0.0000, 0.0000, 0.0000), Fe at (0.0000, 0.0000, 0.5000) and W at (0.5000, 0.5000, 0.3423).

d.
Density functional theory data (PBE) for a relaxed SrFeW2 crystal.

It has space group P4/mmm (No. 123), with a = 3.8508 Å, b = 3.8508 Å, c = 5.1034 Å, α = 90.00°, β = 90.00° and γ = 90.00°. The inequivalent atoms are Sr at (0.0000, 0.0000, 0.0000), Fe at (0.5000, 0.5000, 0.0000) and W at (0.0000, 0.5000, 0.5000).

On energetic grounds, c is preferred over the next structure by 24.0 kJ/mol of atoms.

a.
Density functional theory data (PBE) for a relaxed SrFeW2 crystal.

It has space group Cmmm (No. 65), with a = 3.7784 Å, b = 4.1795 Å, c = 9.1005 Å, α = 90.00°, β = 90.00° and γ = 90.00°. The inequivalent atoms are Sr at (0.0000, 0.0000, 0.0000), Fe at (0.0000, 0.0000, 0.5000) and W at (0.0000, 0.5000, 0.3143).

b.
Density functional theory data (PBE) for a relaxed SrFeW2 crystal.

It has space group P4/mmm (No. 123), with a = 5.1431 Å, b = 5.1431 Å, c = 2.7584 Å, α = 90.00°, β = 90.00° and γ = 90.00°. The inequivalent atoms are Sr at (0.0000, 0.0000, 0.0000), Fe at (0.5000, 0.5000, 0.0000) and W at (0.0000, 0.5000, 0.5000).

On energetic grounds, a is preferred over the next structure by 73.1 kJ/mol of atoms.

a.
Density functional theory data (PBE) for a relaxed SrFeW3 crystal.

It has space group Pm-3m (No. 221), with a = 4.6883 Å, b = 4.6883 Å, c = 4.6883 Å, α = 90.00°, β = 90.00° and γ = 90.00°. The inequivalent atoms are Sr at (0.0000, 0.0000, 0.0000), Fe at (0.5000, 0.5000, 0.5000) and W at (0.0000, 0.0000, 0.5000).

b.
Density functional theory data (PBE) for a relaxed SrFeW3 crystal.

It has space group Pm-3m (No. 221), with a = 4.6534 Å, b = 4.6534 Å, c = 4.6534 Å, α = 90.00°, β = 90.00° and γ = 90.00°. The inequivalent atoms are Sr at (0.0000, 0.0000, 0.0000), Fe at (0.5000, 0.5000, 0.5000) and W at (0.0000, 0.5000, 0.5000).

On energetic grounds, b is preferred over the next structure by 256.7 kJ/mol of atoms.

a.
Density functional theory data (PBE) for a relaxed SrY2Fe crystal.

It has space group I4_1/amd (No. 141, origin choice 2), with a = 7.6726 Å, b = 7.6726 Å, c = 10.8721 Å, α = 90.00°, β = 90.00° and γ = 90.00°. The inequivalent atoms are Sr at (0.0000, 0.2500, 0.3750), Y at (0.0000, 0.0000, 0.0000) and Fe at (0.0000, 0.2500, 0.8750).

b.
Density functional theory data (PBE) for a relaxed SrY2Fe crystal.

It has space group C2/m (No. 12), with a = 6.8801 Å, b = 3.9144 Å, c = 9.8700 Å, α = 90.00°, β = 102.65° and γ = 90.00°. The inequivalent atoms are Sr at (0.0000, 0.0000, 0.0000), Y at (0.2174, 0.0000, 0.6523) and Fe at (0.0000, 0.5000, 0.5000).

c.
Density functional theory data (PBE) for a relaxed SrY2Fe crystal.

It has space group P4/mmm (No. 123), with a = 3.4989 Å, b = 3.4989 Å, c = 9.7634 Å, α = 90.00°, β = 90.00° and γ = 90.00°. The inequivalent atoms are Sr at (0.0000, 0.0000, 0.0000), Y at (0.5000, 0.5000, 0.3360) and Fe at (0.0000, 0.0000, 0.5000).

d.
Density functional theory data (PBE) for a relaxed SrY2Fe crystal.

It has space group C2/m (No. 12), with a = 6.6843 Å, b = 11.5058 Å, c = 3.4745 Å, α = 90.00°, β = 117.36° and γ = 90.00°. The inequivalent atoms are Sr at (0.0000, 0.0000, 0.0000), Y at (0.2500, 0.2500, 0.5000) and Fe at (0.0000, 0.5000, 0.0000).

On energetic grounds, c is preferred over the next structure by 8.0 kJ/mol of atoms.